1.
Density functional theory data (PBE) for RbHgSO6 after structural relaxation.

Lattice parameters (Å, degrees): 5.433 9.260 6.040 90.00 90.23 90.00
Space group C2 (No. 5)
Symmetry-distinct sites (fractional):
Rb  0.000  0.000  0.000 x2
Hg  0.000  0.667  0.500 x2
S  0.000  0.337  0.500 x2
O  0.105  0.465  0.670 x4
O  0.115  0.219  0.670 x4
O  0.242  0.837  0.650 x4

The value obtained for the uncorrected formation energy is -0.57 eV per atom. The density of states at the Fermi level is 0.2 states/eV/f.u. The value obtained for the total magnetization is 1.067 μB/f.u.

2.
Density functional theory data (PBE) for Ba2SiAgPt after structural relaxation.

Lattice parameters (Å, degrees): 6.258 6.258 4.570 90.00 90.00 90.00
Space group P4/mmm (No. 123)
Symmetry-distinct sites (fractional):
Ba  0.000  0.500  0.000 x2
Si  0.000  0.000  0.500 x1
Ag  0.500  0.500  0.500 x1
Pt  0.000  0.000  0.000 x1

The value obtained for the uncorrected formation energy is -0.43 eV per atom. The density of states at the Fermi level is 3.6 states/eV/f.u. The value obtained for the total magnetization is 0.000 μB/f.u.

3.
Density functional theory data (PBE) for MnReTe2 after structural relaxation.

Lattice parameters (Å, degrees): 5.879 5.879 11.642 90.00 90.00 90.00
Space group I-42d (No. 122)
Symmetry-distinct sites (fractional):
Mn  0.000  0.000  0.000 x4
Re  0.000  0.000  0.500 x4
Te  0.236  0.250  0.125 x8

The value obtained for the uncorrected formation energy is 0.88 eV per atom. The density of states at the Fermi level is 5.3 states/eV/f.u. The value obtained for the total magnetization is 0.000 μB/f.u. The offset from the most stable computed form comes out at 3.171 eV/f.u.

4.
Density functional theory data (PBE) for CeDyNi2 after structural relaxation.

Lattice parameters (Å, degrees): 6.802 6.802 6.802 90.00 90.00 90.00
Space group Fm-3m (No. 225)
Symmetry-distinct sites (fractional):
Ce  0.000  0.000  0.000 x4
Dy  0.000  0.000  0.500 x4
Ni  0.250  0.250  0.250 x8

The density of states at the Fermi level is 5.4 states/eV/f.u. The value obtained for the total magnetization is 0.316 μB/f.u. The offset from the most stable computed form comes out at 0.366 eV/f.u. As for the formation energy: -302 meV per atom.

5.
Density functional theory data (PBE) for Er5Zr3 after structural relaxation.

Lattice parameters (Å, degrees): 3.371 3.371 19.207 90.00 90.00 90.00
Space group P4/mmm (No. 123)
Symmetry-distinct sites (fractional):
Er  0.000  0.000  0.000 x1
Er  0.000  0.000  0.268 x2
Er  0.500  0.500  0.132 x2
Zr  0.000  0.000  0.500 x1
Zr  0.500  0.500  0.390 x2

The density of states at the Fermi level is 11.4 states/eV/f.u. The value obtained for the total magnetization is 0.000 μB/f.u. As for the formation energy: 67 meV per atom.